A relaxed structure of Er5Tl2CdRh2. Source: Alexandria, functional PBE-GGA.

Geometry as extended XYZ:
```
20
Lattice="-0.2976 -3.6164 0.0533 1.1260 0.0804 11.7396 -11.6999 0.9794 1.1155" Properties=species:S:1:pos:R:3 pbc="T T T"
Er -0.8431 -1.7144 2.5136
Er -10.0284 -0.8422 10.3948
Er -9.3691 -1.0226 1.8418
Er -4.2813 -1.3393 8.7648
Er -1.5024 -1.5341 11.0666
Er -6.5903 -1.2174 4.1436
Er -7.7375 -1.0719 7.6097
Er -3.1341 -1.4848 5.2987
Er 0.4142 -1.7680 5.8964
Er -5.9988 -1.3185 0.5844
Tl -1.2614 0.2230 8.0878
Tl -9.3125 0.8367 4.7673
Tl -3.6370 0.3346 2.3908
Tl -6.9369 0.7252 10.4643
Cd 0.0000 0.0000 0.0000
Cd -5.2869 0.5299 6.4275
Rh -7.2350 0.6285 2.2416
Rh -3.3389 0.4313 10.6135
Rh -9.4569 0.9018 8.3769
Rh -1.1170 0.1580 4.4782
```

## Properties
- Total DFT energy (no corrections): -4.818 eV/atom
- V: 25.24 Å³ per atom
- Space group: No. 127

A relaxed structure of ErTlCdRh. Source: Alexandria, functional PBE-GGA.

Geometry as extended XYZ:
```
4
Lattice="4.8916 0.0000 0.0000 2.4458 4.2363 0.0000 2.4458 1.4121 3.9940" Properties=species:S:1:pos:R:3 pbc="T T T"
Tl 7.3374 4.2363 2.9955
Cd 2.4458 1.4121 0.9985
Rh 0.0000 0.0000 0.0000
Er 4.8916 2.8242 1.9970
```

## Properties
- Total DFT energy (no corrections): -4.039 eV/atom
- V: 20.69 Å³ per atom
- Space group: No. 216

A relaxed structure of YErCdRh. Source: Alexandria, functional PBE-GGA.

Geometry as extended XYZ:
```
4
Lattice="-1.2577 -4.5584 1.7368 3.1112 -3.9026 -0.6840 2.4700 -1.9700 3.9238" Properties=species:S:1:pos:R:3 pbc="T T T"
Y 3.2426 -7.8233 3.7325
Cd 0.0000 0.0000 0.0000
Rh 2.1617 -5.2156 2.4883
Er 1.0809 -2.6078 1.2442
```

## Properties
- Total DFT energy (no corrections): -5.368 eV/atom
- V: 22.60 Å³ per atom
- Space group: No. 216

A relaxed structure of Er6CdRu. Source: Alexandria, functional PBE-GGA.

Geometry as extended XYZ:
```
8
Lattice="6.4493 0.5893 0.0000 2.0909 6.8235 0.0000 1.0455 3.4117 5.5716" Properties=species:S:1:pos:R:3 pbc="T T T"
Er 6.4509 5.8543 3.4414
Er 5.4055 2.4426 2.1301
Er 4.1803 8.3819 3.4414
Er 3.1348 4.9702 2.1301
Er 6.2464 5.4055 0.0000
Er 2.2939 2.0073 0.0000
Cd 0.0000 0.0000 0.0000
Ru 4.2701 3.7064 0.0000
```

## Properties
- V: 29.79 Å³ per atom
- ΔE to the lowest computed polymorph: 121.5 meV per atom
- Space group: No. 12

A relaxed structure of Er6Cd2Ru. Source: Alexandria, functional PBE-GGA.

Geometry as extended XYZ:
```
18
Lattice="6.7163 0.0000 0.4014 0.0000 7.3179 0.0000 -0.2588 0.0000 10.3485" Properties=species:S:1:pos:R:3 pbc="T T T"
Er 6.0133 7.2954 2.9516
Er 5.3014 5.0128 5.8939
Er 5.3085 5.0990 10.3050
Er 4.3777 1.4401 5.8199
Er 4.3848 1.3538 10.2310
Er 3.9318 3.6364 2.8247
Er 0.4443 0.0225 7.7983
Er 1.1561 2.3051 4.8560
Er 1.1490 2.2188 0.4449
Er 2.0798 5.8778 4.9301
Er 2.0727 5.9640 0.5190
Er 2.5257 3.6814 7.9252
Cd 6.1561 3.0037 8.1225
Cd 3.5301 6.6626 8.0024
Cd 2.9274 0.6552 2.7475
Cd 0.3014 4.3142 2.6274
Ru 3.3581 3.6589 0.2007
Ru -0.1294 0.0000 5.1743
```

## Properties
- V: 28.30 Å³ per atom
- ΔE to the lowest computed polymorph: 82.1 meV per atom
- Space group: No. 14

A relaxed structure of Er3Cd2Ru. Source: Alexandria, functional PBE-GGA.

Geometry as extended XYZ:
```
12
Lattice="-1.5931 2.3819 4.0969 -7.4853 -1.9948 1.2951 2.2740 -5.7780 4.2434" Properties=species:S:1:pos:R:3 pbc="T T T"
Er -2.1532 -3.2364 7.1441
Er -0.2728 -0.1400 3.0259
Er -4.6512 -2.1546 2.4913
Er -3.4266 -0.0008 4.7677
Er -3.3778 -5.3902 4.8676
Er 0.9537 -3.2561 5.3145
Cd 0.0000 0.0000 0.0000
Cd 1.1370 -2.8890 2.1217
Cd -1.8804 -2.7527 3.9242
Cd -4.9240 -2.6382 5.7112
Ru -2.9792 0.1510 1.8021
Ru -6.0993 0.2360 3.5899
```

## Properties
- Total DFT energy (no corrections): -4.516 eV/atom
- V: 23.33 Å³ per atom
- Space group: No. 10

A relaxed structure of Er2CdRu. Source: Alexandria, functional PBE-GGA.

Geometry as extended XYZ:
```
4
Lattice="4.9874 0.0000 0.0000 2.4937 4.3192 0.0000 2.4937 1.4397 4.0722" Properties=species:S:1:pos:R:3 pbc="T T T"
Ru 4.9874 2.8795 2.0361
Cd 0.0000 0.0000 0.0000
Er 2.4937 1.4397 1.0180
Er 7.4810 4.3192 3.0541
```

## Properties
- V: 21.93 Å³ per atom
- ΔE to the lowest computed polymorph: 123.9 meV per atom
- Space group: No. 225

A relaxed structure of Er12CdRu6. Source: Alexandria, functional PBE-GGA.

Geometry as extended XYZ:
```
19
Lattice="8.3325 -0.7809 -0.9355 -2.0351 8.1178 -0.9355 -2.0351 -2.3711 7.8200" Properties=species:S:1:pos:R:3 pbc="T T T"
Er 4.7648 3.0238 2.9161
Er 1.5795 5.0628 3.4963
Er 2.2665 1.9457 5.6061
Er -0.5026 1.9420 3.0328
Er 2.6827 -0.0970 2.4527
Er 1.9957 3.0202 0.3428
Er -2.1421 6.1471 1.7804
Er -2.1386 3.0023 6.7971
Er 3.2918 6.9841 -0.4174
Er 6.4043 -1.1813 4.1685
Er 6.4008 1.9635 -0.8482
Er 0.9705 -2.0183 6.3663
Cd 0.0000 0.0000 0.0000
Ru 3.4945 4.9940 1.4710
Ru 4.2435 1.4276 0.7724
Ru -0.1443 4.2710 1.5427
Ru 0.7678 -0.0282 4.4779
Ru 0.0187 3.5382 5.1765
Ru 4.4066 0.6948 4.4063
```

## Properties
- Total DFT energy (no corrections): -6.087 eV/atom
- V: 25.08 Å³ per atom
- Space group: No. 148

| no. | M_tot (μB per formula unit) |
| --- | --- |
| 1 | 0.00 |
| 2 | 0.00 |
| 3 | 0.00 |
| 4 | 0.00 |
| 5 | 0.00 |
| 6 | 0.00 |
| 7 | 0.00 |
| 8 | 0.00 |